Computed, not measured: a geometry-optimized AlRuAu2 structure at the PBE level of DFT.

```
data_AlRuAu2
_space_group_name_H-M_alt 'P 1'
_space_group_IT_number 1
_cell_length_a 9.0678
_cell_length_b 9.0678
_cell_length_c 9.0678
_cell_angle_alpha 18.39
_cell_angle_beta 18.39
_cell_angle_gamma 18.39
loop_
_space_group_symop_operation_xyz
'x,y,z'
loop_
_atom_site_label
_atom_site_type_symbol
_atom_site_fract_x
_atom_site_fract_y
_atom_site_fract_z
Ru1 Ru 0.4917 0.4917 0.4917
Au1 Au 0.0076 0.0076 0.0076
Au2 Au 0.2466 0.2466 0.2466
Al1 Al 0.7542 0.7542 0.7542
```

spin magnetization: 0.002 μB/f.u.


Computed, not measured: a geometry-optimized AlRu2Au structure at the PBE level of DFT.

```
data_AlRu2Au
_space_group_name_H-M_alt 'P 1'
_space_group_IT_number 1
_cell_length_a 2.9413
_cell_length_b 4.5298
_cell_length_c 4.5426
_cell_angle_alpha 90.00
_cell_angle_beta 90.00
_cell_angle_gamma 90.00
loop_
_space_group_symop_operation_xyz
'x,y,z'
loop_
_atom_site_label
_atom_site_type_symbol
_atom_site_fract_x
_atom_site_fract_y
_atom_site_fract_z
Ru1 Ru 0.0000 0.0000 0.0000
Ru2 Ru 0.5000 0.5000 0.0000
Au1 Au 0.0000 0.5000 0.5000
Al1 Al 0.5000 0.0000 0.5000
```

spin magnetization: 0.948 μB/f.u.


Computed, not measured: a geometry-optimized AlRuAu structure at the PBE level of DFT.

```
data_AlRuAu
_space_group_name_H-M_alt 'P 1'
_space_group_IT_number 1
_cell_length_a 5.4395
_cell_length_b 5.4413
_cell_length_c 5.4413
_cell_angle_alpha 147.64
_cell_angle_beta 147.64
_cell_angle_gamma 46.41
loop_
_space_group_symop_operation_xyz
'x,y,z'
loop_
_atom_site_label
_atom_site_type_symbol
_atom_site_fract_x
_atom_site_fract_y
_atom_site_fract_z
Ru1 Ru 0.6466 0.6467 0.9999
Au1 Au 0.3414 0.3413 0.0001
Al1 Al 0.0120 0.0119 0.0001
```

spin magnetization: 0.000 μB/f.u.


Computed, not measured: a geometry-optimized AlRuAu2 structure at the PBE level of DFT.

```
data_AlRuAu2
_space_group_name_H-M_alt 'P 1'
_space_group_IT_number 1
_cell_length_a 4.2263
_cell_length_b 2.9283
_cell_length_c 5.5058
_cell_angle_alpha 73.06
_cell_angle_beta 90.00
_cell_angle_gamma 90.00
loop_
_space_group_symop_operation_xyz
'x,y,z'
loop_
_atom_site_label
_atom_site_type_symbol
_atom_site_fract_x
_atom_site_fract_y
_atom_site_fract_z
Ru1 Ru 0.5000 0.2500 0.2500
Au1 Au 0.0000 0.9010 0.9916
Au2 Au 0.0000 0.5990 0.5084
Al1 Al 0.5000 0.7500 0.7500
```

spin magnetization: 0.927 μB/f.u.


Computed, not measured: a geometry-optimized AlRu2Au structure at the PBE level of DFT.

```
data_AlRu2Au
_space_group_name_H-M_alt 'P 1'
_space_group_IT_number 1
_cell_length_a 2.9981
_cell_length_b 2.9981
_cell_length_c 6.6030
_cell_angle_alpha 90.00
_cell_angle_beta 90.00
_cell_angle_gamma 90.00
loop_
_space_group_symop_operation_xyz
'x,y,z'
loop_
_atom_site_label
_atom_site_type_symbol
_atom_site_fract_x
_atom_site_fract_y
_atom_site_fract_z
Ru1 Ru 0.0000 0.0000 0.0318
Ru2 Ru 0.0000 0.0000 0.4682
Au1 Au 0.5000 0.5000 0.7500
Al1 Al 0.5000 0.5000 0.2500
```

spin magnetization: 0.001 μB/f.u.


Computed, not measured: a geometry-optimized AlRuAu structure at the PBE level of DFT.

```
data_AlRuAu
_space_group_name_H-M_alt 'P 1'
_space_group_IT_number 1
_cell_length_a 4.2248
_cell_length_b 4.2248
_cell_length_c 5.8138
_cell_angle_alpha 90.00
_cell_angle_beta 90.00
_cell_angle_gamma 90.00
loop_
_space_group_symop_operation_xyz
'x,y,z'
loop_
_atom_site_label
_atom_site_type_symbol
_atom_site_fract_x
_atom_site_fract_y
_atom_site_fract_z
Au1 Au 0.5000 0.5000 0.5000
Au2 Au 0.0000 0.0000 0.5000
Ru1 Ru 0.5000 0.5000 0.0000
Ru2 Ru 0.0000 0.0000 0.0000
Al1 Al 0.5000 0.0000 0.7757
Al2 Al 0.0000 0.5000 0.2243
```

spin magnetization: 0.189 μB/f.u.


Computed, not measured: a geometry-optimized AlRu3Au structure at the PBE level of DFT.

```
data_AlRu3Au
_space_group_name_H-M_alt 'P 1'
_space_group_IT_number 1
_cell_length_a 4.4256
_cell_length_b 4.4256
_cell_length_c 4.4256
_cell_angle_alpha 90.00
_cell_angle_beta 90.00
_cell_angle_gamma 90.00
loop_
_space_group_symop_operation_xyz
'x,y,z'
loop_
_atom_site_label
_atom_site_type_symbol
_atom_site_fract_x
_atom_site_fract_y
_atom_site_fract_z
Ru1 Ru 0.0000 0.5000 0.0000
Ru2 Ru 0.0000 0.0000 0.5000
Ru3 Ru 0.5000 0.0000 0.0000
Au1 Au 0.5000 0.5000 0.5000
Al1 Al 0.0000 0.0000 0.0000
```

spin magnetization: 2.298 μB/f.u.


Computed, not measured: a geometry-optimized AlRuAu2 structure at the PBE level of DFT.

```
data_AlRuAu2
_space_group_name_H-M_alt 'P 1'
_space_group_IT_number 1
_cell_length_a 5.3786
_cell_length_b 5.3786
_cell_length_c 4.4628
_cell_angle_alpha 65.49
_cell_angle_beta 65.49
_cell_angle_gamma 33.53
loop_
_space_group_symop_operation_xyz
'x,y,z'
loop_
_atom_site_label
_atom_site_type_symbol
_atom_site_fract_x
_atom_site_fract_y
_atom_site_fract_z
Ru1 Ru 0.7500 0.7500 0.7500
Au1 Au 0.9771 0.9771 0.0229
Au2 Au 0.5229 0.5229 0.4771
Al1 Al 0.2500 0.2500 0.2500
```

spin magnetization: 0.500 μB/f.u.


no.,energy of formation from the pure elements (eV/atom)
1,-0.084
2,0.074
3,-0.195
4,0.053
5,-0.035
6,0.000
7,1.158
8,-0.018